[1]
Density functional theory data (PBE) for a relaxed KSrTiNb2 crystal.

Cell: 5.123 5.238 5.123 Å, 90.00 90.00 90.00°
Positions (direct):
Sr (0.000, 0.000, 0.000)
Nb (0.000, 0.000, 0.500)
Nb (0.500, 0.000, 0.000)
K (0.000, 0.500, 0.000)
Ti (0.500, 0.500, 0.500)

Values from the calculation:
size of the total moment	0.00	μB per cell
calculated formation energy	2.412	eV per atom
crystal system	tetragonal
SG	No. 123
density of states at the Fermi level	14.58	states/eV/cell



[2]
Density functional theory data (PBE) for a relaxed CsNbSe2Cl crystal.

Cell: 5.790 7.242 5.790 Å, 90.00 90.00 90.00°
Site moments in Bohr magnetons follow the coordinates.
Positions (direct):
Cs (0.000, 0.000, 0.000)  0.04
Nb (0.000, 0.500, 0.000)  3.05
Se (0.000, 0.000, 0.500)  -0.38
Se (0.500, 0.000, 0.000)  -0.31
Cl (0.500, 0.500, 0.500)  -0.11

Values from the calculation:
size of the total moment	2.66	μB per cell
energy relative to the elements, uncorrected	8.07	eV/f.u.
crystal system	tetragonal
SG	No. 123
density of states at the Fermi level	9.11	states/eV/cell



[3]
Density functional theory data (PBE) for a relaxed Tm3URu6 crystal.

Cell: 6.771 6.771 6.771 Å, 60.00 60.00 60.00°
Site moments in Bohr magnetons follow the coordinates.
Positions (direct):
Tm (0.750, 0.750, 0.750)  -0.06
Tm (0.250, 0.250, 0.250)  -0.06
Tm (0.500, 0.500, 0.500)  -0.02
U (0.000, 0.000, 0.000)  -0.13
Ru (0.757, 0.757, 0.243)  0.30
Ru (0.243, 0.757, 0.757)  0.30
Ru (0.243, 0.757, 0.243)  0.30
Ru (0.757, 0.243, 0.243)  0.30
Ru (0.757, 0.243, 0.757)  0.30
Ru (0.243, 0.243, 0.757)  0.30

Values from the calculation:
size of the total moment	1.52	μB per cell
calculated formation energy	0.653	eV per atom
crystal system	cubic
SG	No. 225
density of states at the Fermi level	10.54	states/eV/cell



[4]
Density functional theory data (PBE) for a relaxed Cs6BaBr8 crystal.

Cell: 9.510 9.510 9.510 Å, 68.59 68.59 68.59°
Site moments in Bohr magnetons follow the coordinates.
Positions (direct):
Cs (0.063, 0.488, 0.692)  0.00
Cs (0.308, 0.937, 0.512)  0.00
Cs (0.512, 0.308, 0.937)  0.00
Cs (0.488, 0.692, 0.063)  0.00
Cs (0.692, 0.063, 0.488)  0.00
Cs (0.937, 0.512, 0.308)  0.00
Ba (0.000, 0.000, 0.000)  0.00
Br (0.171, 0.671, 0.905)  0.01
Br (0.095, 0.829, 0.329)  0.01
Br (0.329, 0.095, 0.829)  0.01
Br (0.660, 0.660, 0.660)  0.09
Br (0.340, 0.340, 0.340)  0.09
Br (0.671, 0.905, 0.171)  0.01
Br (0.905, 0.171, 0.671)  0.01
Br (0.829, 0.329, 0.095)  0.01

Values from the calculation:
size of the total moment	0.35	μB per cell
energy relative to the elements, uncorrected	-27.68	eV/f.u.
crystal system	trigonal
SG	No. 148
density of states at the Fermi level	0.00	states/eV/cell



[5]
Density functional theory data (PBE) for a relaxed YAs2W crystal.

Cell: 5.205 5.205 5.205 Å, 138.89 115.64 79.26°
Positions (direct):
Y (0.250, 0.750, 0.500)
As (0.970, 0.970, 0.000)
As (0.530, 0.530, 0.000)
W (0.750, 0.250, 0.500)

Values from the calculation:
size of the total moment	0.00	μB per cell
calculated formation energy	-0.199	eV per atom
crystal system	orthorhombic
SG	No. 71
density of states at the Fermi level	2.35	states/eV/cell



[6]
Density functional theory data (PBE) for a relaxed CuOs2Ru crystal.

Cell: 3.812 2.728 5.948 Å, 62.70 90.00 90.00°
Positions (direct):
Cu (0.500, 0.753, 0.748)
Os (0.000, 0.003, 0.997)
Os (0.500, 0.256, 0.244)
Ru (0.000, 0.488, 0.511)

Values from the calculation:
size of the total moment	0.00	μB per cell
calculated formation energy	0.249	eV per atom
crystal system	orthorhombic
SG	No. 25
density of states at the Fermi level	4.20	states/eV/cell